VASP calculation (PBE-GGA) on crystalline La4PuCo5 at its relaxed geometry.

a b c (Å): 7.084 7.084 7.084
angles (deg): 96.71 96.71 140.02
Element x y z (fractional)
La (0.000, 0.286, 0.286)
La (0.000, 0.714, 0.714)
La (0.286, 0.000, 0.286)
La (0.714, 0.000, 0.714)
Pu (0.389, 0.389, 0.000)
Co (0.334, 0.334, 0.641)
Co (0.334, 0.693, 0.000)
Co (0.693, 0.334, 0.000)
Co (0.693, 0.693, 0.359)
Co (0.878, 0.878, 0.000)

Computed properties:
raw total energy = -6.88 eV/atom
mass density = 8.46 g/cm3
total magnetic moment = 1.93 μB/cell
formation energy = 0.073 eV per atom
space group = I4mm (107)